(1)
Computed, not measured: crystalline MgAg3Cl at its relaxed geometry at the PBE level of DFT.

Cell and atoms, written as POSCAR:
```
MgAg3Cl
1.0
5.058 0.000 0.000
0.000 5.058 0.000
0.000 0.000 5.058
Mg Ag Cl
1 3 1
direct
0.000 0.000 0.000
0.000 0.500 0.500
0.500 0.000 0.500
0.500 0.500 0.000
0.500 0.500 0.500
```

Raw formation energy, eV per atom: 0.4845
Excess energy over the best structure of this formula in the dataset, meV/atom: 0
SG: No. 221
DOS(E_F), states/eV per cell: 0.95



(2)
Computed, not measured: crystalline LiZr2Be at its relaxed geometry at the PBE level of DFT.

Cell and atoms, written as POSCAR:
```
LiZr2Be
1.0
3.948 0.000 0.000
0.000 3.948 0.000
0.000 0.000 8.843
Li Zr Be
2 4 2
direct
0.000 0.000 0.000
0.500 0.500 0.500
0.000 0.000 0.500
0.000 0.500 0.750
0.500 0.000 0.250
0.500 0.500 0.000
0.000 0.500 0.250
0.500 0.000 0.750
```

SG: No. 119
DOS(E_F), states/eV per cell: 8.29
ΔE_f, meV/atom: 245



(3)
Computed, not measured: crystalline AcTh2Rh9 at its relaxed geometry at the PBE level of DFT.

Cell and atoms, written as POSCAR:
```
AcTh2Rh9
1.0
2.682 1.548 8.920
-2.682 1.548 8.920
0.000 -3.096 8.920
Ac Th Rh
1 2 9
direct
0.000 0.000 0.000
0.138 0.138 0.138
0.862 0.862 0.862
0.082 0.585 0.585
0.333 0.333 0.333
0.415 0.415 0.918
0.415 0.918 0.415
0.500 0.500 0.500
0.585 0.082 0.585
0.585 0.585 0.082
0.667 0.667 0.667
0.918 0.415 0.415
```

SG: No. 166
DOS(E_F), states/eV per cell: 10.98
ΔE_f, meV/atom: -591



(4)
Computed, not measured: crystalline HfGaAu at its relaxed geometry at the PBE level of DFT.

Cell and atoms, written as POSCAR:
```
HfGaAu
1.0
11.248 0.000 0.000
0.000 3.395 0.000
-4.575 0.000 5.850
Hf Ga Au
4 4 4
direct
0.000 0.000 0.000
0.194 0.000 0.675
0.500 0.500 0.000
0.694 0.500 0.675
0.460 0.000 0.292
0.461 0.000 0.654
0.960 0.500 0.292
0.961 0.500 0.654
0.235 0.500 0.401
0.242 0.500 0.029
0.735 0.000 0.401
0.742 0.000 0.029
```

SG: No. 8
DOS(E_F), states/eV per cell: 4.67
ΔE_f, meV/atom: -405



no.,spin magnetization (μB/atom)
1,0.0000
2,0.0000
3,0.0000
4,0.0000